Run one
Computed, not measured: a relaxed Tl2In4Sn3 crystal at the PBE level of DFT.

abc: 6.5997 9.6953 9.0051
angles: 90.00 111.50 90.00
Atoms (fractional coordinates):
Tl 0.1040 0.5719 0.2079
Tl 0.8960 0.4281 0.7921
Tl 0.3960 0.0719 0.7921
Tl 0.6040 0.9281 0.2079
In 0.6993 0.7500 0.8987
In 0.8007 0.2500 0.1013
In 0.3007 0.2500 0.1013
In 0.1993 0.7500 0.8987
In 0.1822 0.9801 0.3645
In 0.8178 0.0199 0.6355
In 0.3178 0.4801 0.6355
In 0.6822 0.5199 0.3645
Sn 0.0000 0.0000 0.0000
Sn 0.5000 0.5000 0.0000
Sn 0.5173 0.7500 0.5347
Sn 0.9827 0.2500 0.4653
Sn 0.4827 0.2500 0.4653
Sn 0.0173 0.7500 0.5347

Output
Total magnetization in μB per formula unit: 0.0
D(E_F) in states/eV/cell: 7.9
Space group: No. 64

***

Run two
Computed, not measured: a relaxed Tl2In4Sn3 crystal at the PBE level of DFT.

abc: 5.3399 10.4991 10.4991
angles: 61.91 86.38 86.38
Atoms (fractional coordinates):
Tl 0.2388 0.6999 0.5032
Tl 0.2612 0.4968 0.3001
Tl 0.7612 0.3001 0.4968
Tl 0.7388 0.5032 0.6999
In 0.5944 0.0224 0.8380
In 0.9056 0.1620 0.9776
In 0.4056 0.9776 0.1620
In 0.0944 0.8380 0.0224
In 0.6466 0.8451 0.6482
In 0.8534 0.3518 0.1549
In 0.3534 0.1549 0.3518
In 0.1466 0.6482 0.8451
Sn 0.1244 0.0106 0.6702
Sn 0.3756 0.3298 0.9894
Sn 0.8756 0.9894 0.3298
Sn 0.6244 0.6702 0.0106
Sn 0.2500 0.3081 0.6919
Sn 0.7500 0.6919 0.3081

Output
Total magnetization in μB per formula unit: 0.0
D(E_F) in states/eV/cell: 8.2
Space group: No. 15

***

Quick one: most stable of them? run one

***

Run one
Computed, not measured: a relaxed TlIn2Sn crystal at the PBE level of DFT.

abc: 3.3267 3.3267 10.4239
angles: 90.00 90.00 98.21
Atoms (fractional coordinates):
Tl 0.5000 0.5000 0.0000
In 0.0000 0.0000 0.2617
In 0.0000 0.0000 0.7383
Sn 0.5000 0.5000 0.5000

Output
Total magnetization in μB per formula unit: 0.0
D(E_F) in states/eV/cell: 1.5
Space group: No. 65

***

Run two
Computed, not measured: a relaxed TlIn2Sn crystal at the PBE level of DFT.

abc: 3.8136 3.8136 7.9034
angles: 90.00 90.00 90.00
Atoms (fractional coordinates):
Tl 0.5000 0.5000 0.5000
Sn 0.5000 0.5000 0.0000
In 0.0000 0.0000 0.7713
In 0.0000 0.0000 0.2287

Output
Total magnetization in μB per formula unit: 0.0
D(E_F) in states/eV/cell: 1.9
Space group: No. 123

***

Quick one: most stable of them? run one

***

Run one
Computed, not measured: a relaxed TlIn2Sn2 crystal at the PBE level of DFT.

abc: 5.2093 5.2093 6.9027
angles: 67.83 67.83 90.00
Atoms (fractional coordinates):
Tl 0.0000 0.0000 0.0000
Sn 0.3779 0.3779 0.2443
Sn 0.6221 0.6221 0.7557
In 0.7500 0.2500 0.5000
In 0.2500 0.7500 0.5000

Output
Total magnetization in μB per formula unit: 0.0
D(E_F) in states/eV/cell: 3.0
Space group: No. 139

***

Run two
Computed, not measured: a relaxed TlIn2Sn2 crystal at the PBE level of DFT.

abc: 3.3130 5.5573 8.2830
angles: 108.93 100.43 89.75
Atoms (fractional coordinates):
Tl 0.0000 0.0000 0.0000
In 0.7070 0.2052 0.4117
In 0.2930 0.7949 0.5883
Sn 0.6062 0.6094 0.2151
Sn 0.3938 0.3907 0.7849

Output
Total magnetization in μB per formula unit: 0.0
D(E_F) in states/eV/cell: 2.6
Space group: No. 2

***

Quick one: most stable of them? run two

***

Run one
Computed, not measured: a relaxed TlIn2Sn2 crystal at the PBE level of DFT.

abc: 4.4900 4.7433 9.1645
angles: 105.00 104.18 90.00
Atoms (fractional coordinates):
Tl 0.0000 0.0000 0.0000
In 0.2583 0.2583 0.5166
In 0.7417 0.7417 0.4834
Sn 0.6341 0.1341 0.2682
Sn 0.3659 0.8659 0.7318

Output
Total magnetization in μB per formula unit: 0.0
D(E_F) in states/eV/cell: 1.5
Space group: No. 71

***

Run two
Computed, not measured: a relaxed TlIn2Sn2 crystal at the PBE level of DFT.

abc: 8.9783 8.9783 3.5947
angles: 90.00 90.00 90.00
Atoms (fractional coordinates):
Tl 0.0000 0.0000 0.0000
Tl 0.5000 0.5000 0.0000
Sn 0.1550 0.6550 0.5000
Sn 0.6550 0.8450 0.5000
Sn 0.8450 0.3450 0.5000
Sn 0.3450 0.1550 0.5000
In 0.3594 0.8594 0.0000
In 0.8594 0.6406 0.0000
In 0.6406 0.1406 0.0000
In 0.1406 0.3594 0.0000

Output
Total magnetization in μB per formula unit: 0.0
D(E_F) in states/eV/cell: 4.9
Space group: No. 127

***

Quick one: most stable of them? run two

***

Run one
Computed, not measured: a relaxed TlIn2Sn4 crystal at the PBE level of DFT.

abc: 6.5079 6.7236 6.7236
angles: 98.23 62.59 62.59
Atoms (fractional coordinates):
Tl 0.0000 0.9999 0.0001
Sn 0.4747 0.4419 0.9900
Sn 0.5253 0.0100 0.5581
Sn 0.0922 0.9925 0.4486
Sn 0.9078 0.5514 0.0075
In 0.5000 0.4991 0.5009
In 0.0000 0.5051 0.4949

Output
Total magnetization in μB per formula unit: 0.0
D(E_F) in states/eV/cell: 3.8
Space group: No. 5

***

Run two
Computed, not measured: a relaxed TlIn2Sn4 crystal at the PBE level of DFT.

abc: 4.2503 4.2503 11.8846
angles: 100.30 100.30 90.00
Atoms (fractional coordinates):
Tl 0.0000 0.0000 0.0000
In 0.5795 0.5795 0.1591
In 0.4205 0.4205 0.8409
Sn 0.1404 0.1404 0.2807
Sn 0.8596 0.8596 0.7193
Sn 0.7500 0.2500 0.5000
Sn 0.2500 0.7500 0.5000

Output
Total magnetization in μB per formula unit: 0.0
D(E_F) in states/eV/cell: 4.5
Space group: No. 139

***

Quick one: most stable of them? run one

***

Run one
Computed, not measured: a relaxed Tl8In2Sn crystal at the PBE level of DFT.

abc: 5.4667 5.4667 11.5576
angles: 90.00 90.00 90.00
Atoms (fractional coordinates):
Tl 0.0000 0.5000 0.5000
Tl 0.5000 0.0000 0.5000
Tl 0.5000 0.5000 0.3265
Tl 0.5000 0.5000 0.6735
Tl 0.0000 0.5000 0.1524
Tl 0.5000 0.0000 0.1524
Tl 0.0000 0.5000 0.8476
Tl 0.5000 0.0000 0.8476
In 0.0000 0.0000 0.3261
In 0.0000 0.0000 0.6739
Sn 0.0000 0.0000 0.0000

Output
Total magnetization in μB per formula unit: 0.0
D(E_F) in states/eV/cell: 4.1
Space group: No. 123

***

Run two
Computed, not measured: a relaxed Tl8In2Sn crystal at the PBE level of DFT.

abc: 5.4941 7.6036 9.4206
angles: 113.81 106.95 90.00
Atoms (fractional coordinates):
Tl 0.6529 0.8864 0.3059
Tl 0.3471 0.5805 0.6941
Tl 0.1653 0.1653 0.3307
Tl 0.0000 0.2747 0.0000
Tl 0.8347 0.8347 0.6693
Tl 0.6529 0.4195 0.3059
Tl 0.3471 0.1136 0.6941
Tl 0.0000 0.7253 0.0000
In 0.1821 0.6820 0.3641
In 0.8179 0.3180 0.6359
Sn 0.5000 0.0000 0.0000

Output
Total magnetization in μB per formula unit: 0.0
D(E_F) in states/eV/cell: 4.2
Space group: No. 71

***

Quick one: most stable of them? run two

***

Run one
Computed, not measured: a relaxed TlInSn crystal at the PBE level of DFT.

abc: 5.2367 6.4286 6.4976
angles: 74.01 66.24 65.96
Atoms (fractional coordinates):
Tl 0.5601 0.2024 0.6774
Tl 0.4399 0.7976 0.3226
In 0.8416 0.2367 0.0801
In 0.1584 0.7633 0.9199
Sn 0.1647 0.3660 0.3046
Sn 0.8353 0.6340 0.6954

Output
Total magnetization in μB per formula unit: 0.0
D(E_F) in states/eV/cell: 2.6
Space group: No. 12

***

Run two
Computed, not measured: a relaxed TlInSn crystal at the PBE level of DFT.

abc: 3.8271 3.8271 6.4864
angles: 107.16 107.16 90.00
Atoms (fractional coordinates):
Tl 0.9988 0.9988 0.9976
Sn 0.3254 0.3254 0.6508
In 0.6758 0.6758 0.3516

Output
Total magnetization in μB per formula unit: 0.0
D(E_F) in states/eV/cell: 0.9
Space group: No. 107

***

Quick one: most stable of them? run one

***

Run one
Computed, not measured: a relaxed TlInSn crystal at the PBE level of DFT.

abc: 3.4804 3.4804 8.1727
angles: 90.00 90.00 120.00
Atoms (fractional coordinates):
Tl 0.0000 0.0000 0.0016
Sn 0.3333 0.6667 0.6595
In 0.6667 0.3333 0.3389

Output
Total magnetization in μB per formula unit: 0.0
D(E_F) in states/eV/cell: 2.0
Space group: No. 156

***

Run two
Computed, not measured: a relaxed TlInSn crystal at the PBE level of DFT.

abc: 3.1809 5.6414 15.7896
angles: 136.36 108.21 89.81
Atoms (fractional coordinates):
Tl 0.6174 0.5446 0.3968
Tl 0.3826 0.4554 0.6032
In 0.0989 0.2503 0.7502
In 0.9011 0.7497 0.2498
Sn 0.6255 0.9121 0.0810
Sn 0.3745 0.0879 0.9190

Output
Total magnetization in μB per formula unit: 0.0
D(E_F) in states/eV/cell: 1.8
Space group: No. 2

***

Quick one: most stable of them? run two